Entry 1:
Computed, not measured: TaZn2SiNi after structural relaxation at the PBE level of DFT.

Properties
**Density of states at the Fermi level**: 4.7 states/eV per cell
**Theoretical density**: 7.20 g/cm³
**Crystal system**: tetragonal
**Spin magnetization**: 0.3 μB per cell
**Calculated total energy**: -21.08 eV/cell

Lattice parameters (Å, degrees): 4.387 4.387 4.778 90.00 90.00 90.00
Fractional coordinates of all 5 atoms:
Ta 0.000 0.000 0.000
Zn 0.000 0.500 0.500
Zn 0.500 0.000 0.500
Si 0.000 0.000 0.500
Ni 0.500 0.500 0.000

=====

Entry 2:
Computed, not measured: K3TbDy2S6 after structural relaxation at the PBE level of DFT.

Properties
**Density of states at the Fermi level**: 0.0 states/eV per cell
**Theoretical density**: 4.18 g/cm³
**Crystal system**: monoclinic
**Spin magnetization**: 0.0 μB per cell
**Calculated total energy**: -64.56 eV/cell

Lattice parameters (Å, degrees): 7.029 7.029 7.734 98.71 98.71 120.00
Fractional coordinates of all 12 atoms:
K 0.000 0.000 0.000
K 0.333 0.667 0.000
K 0.667 0.333 0.000
Tb 0.500 0.500 0.500
Dy 0.167 0.833 0.500
Dy 0.833 0.167 0.500
S 0.098 0.433 0.298
S 0.233 0.233 0.702
S 0.433 0.098 0.298
S 0.567 0.902 0.702
S 0.767 0.767 0.298
S 0.902 0.567 0.702

=====

Entry 3:
Computed, not measured: Mg2BeTe after structural relaxation at the PBE level of DFT.

Properties
**Density of states at the Fermi level**: 1.9 states/eV per cell
**Offset from the most stable computed form**: 61.0 meV/atom
**Theoretical density**: 3.55 g/cm³
**Crystal system**: orthorhombic
**Spin magnetization**: 0.0 μB per cell
**Calculated total energy**: -19.53 eV/cell

Lattice parameters (Å, degrees): 3.629 4.136 11.557 90.00 90.00 90.00
Fractional coordinates of all 8 atoms:
Mg 0.000 0.000 0.000
Mg 0.000 0.500 0.184
Mg 0.500 0.000 0.684
Mg 0.500 0.500 0.500
Be 0.000 0.500 0.706
Be 0.500 0.000 0.206
Te 0.000 0.000 0.370
Te 0.500 0.500 0.870

=====

Entry 4:
Computed, not measured: Tb2Y6HoSc after structural relaxation at the PBE level of DFT.

Properties
**Density of states at the Fermi level**: 27.9 states/eV per cell
**Theoretical density**: 5.58 g/cm³
**Crystal system**: monoclinic
**Energy of formation**: 1.233 eV/f.u.
**Spin magnetization**: 0.0 μB per cell
**Calculated total energy**: -115.44 eV/cell

Lattice parameters (Å, degrees): 8.680 8.680 9.531 94.47 94.47 117.13
Fractional coordinates of all 20 atoms:
Tb 0.199 0.299 0.048
Tb 0.299 0.199 0.548
Tb 0.701 0.801 0.452
Tb 0.801 0.701 0.952
Y 0.006 0.567 0.189
Y 0.124 0.752 0.556
Y 0.248 0.876 0.944
Y 0.295 0.505 0.384
Y 0.433 0.994 0.311
Y 0.495 0.705 0.116
Y 0.505 0.295 0.884
Y 0.567 0.006 0.689
Y 0.705 0.495 0.616
Y 0.752 0.124 0.056
Y 0.876 0.248 0.444
Y 0.994 0.433 0.811
Ho 0.021 0.979 0.250
Ho 0.979 0.021 0.750
Sc 0.412 0.588 0.750
Sc 0.588 0.412 0.250

=====

Entry 5:
Computed, not measured: Ti7Ga3H2 after structural relaxation at the PBE level of DFT.

Properties
**Density of states at the Fermi level**: 11.7 states/eV per cell
**Theoretical density**: 5.51 g/cm³
**Crystal system**: orthorhombic
**Spin magnetization**: 0.0 μB per cell
**Calculated total energy**: -76.04 eV/cell

Lattice parameters (Å, degrees): 10.450 10.450 3.958 90.00 90.00 157.63
Fractional coordinates of all 12 atoms:
Ti 0.000 0.000 0.000
Ti 0.097 0.903 0.500
Ti 0.202 0.798 0.000
Ti 0.396 0.604 0.000
Ti 0.604 0.396 0.000
Ti 0.798 0.202 0.000
Ti 0.903 0.097 0.500
Ga 0.303 0.697 0.500
Ga 0.500 0.500 0.500
Ga 0.697 0.303 0.500
H 0.101 0.899 0.000
H 0.899 0.101 0.000

=====

Entry 6:
Computed, not measured: La6Pt2Br3N after structural relaxation at the PBE level of DFT.

Properties
**Density of states at the Fermi level**: 7.1 states/eV per cell
**Theoretical density**: 7.24 g/cm³
**Crystal system**: monoclinic
**Spin magnetization**: 0.9 μB per cell
**Calculated total energy**: -70.82 eV/cell

Lattice parameters (Å, degrees): 7.076 7.076 8.157 98.22 98.22 120.01
Fractional coordinates of all 12 atoms:
La 0.066 0.365 0.197
La 0.231 0.231 0.799
La 0.365 0.066 0.197
La 0.635 0.934 0.803
La 0.769 0.769 0.201
La 0.934 0.635 0.803
Pt 0.335 0.665 0.000
Pt 0.665 0.335 0.000
Br 0.175 0.825 0.500
Br 0.500 0.500 0.500
Br 0.825 0.175 0.500
N 0.000 0.000 0.000